# 1
CoPW: relaxed, PBE-GGA.

**Formation energy from the elements**: 0.25 eV per atom
**Density of states at the Fermi level**: 16.30 states/eV/cell

The structure in CIF format:
```
data_CoPW
_cell_length_a 5.678
_cell_length_b 5.678
_cell_length_c 5.678
_cell_angle_alpha 90.00
_cell_angle_beta 90.00
_cell_angle_gamma 90.00
_space_group_name_H-M_alt 'F -4 3 m'
_space_group_IT_number 216
_space_group_name_Hall 'F -4 2 3'
loop_
_atom_site_label
_atom_site_fract_x
_atom_site_fract_y
_atom_site_fract_z
Co1 0.000 0.000 0.000
P1 0.000 0.000 0.500
W1 0.250 0.250 0.250
```

***

# 2
Cs2ThPaO6: relaxed, PBE-GGA.

**Density of states at the Fermi level**: 44.71 states/eV/cell
**ΔE_f (raw)**: -2.83 eV/atom

The structure in CIF format:
```
data_Cs2ThPaO6
_cell_length_a 9.048
_cell_length_b 9.048
_cell_length_c 9.048
_cell_angle_alpha 90.00
_cell_angle_beta 90.00
_cell_angle_gamma 90.00
_space_group_name_H-M_alt 'F m -3 m'
_space_group_IT_number 225
_space_group_name_Hall '-F 4 2 3'
loop_
_atom_site_label
_atom_site_fract_x
_atom_site_fract_y
_atom_site_fract_z
Cs1 0.250 0.250 0.250
Th1 0.000 0.000 0.000
Pa1 0.000 0.000 0.500
O1 0.000 0.000 0.258
```

***

# 3
AlBMo: relaxed, PBE-GGA.

**Formation energy from the elements**: 0.00 eV per atom
**Density of states at the Fermi level**: 10.84 states/eV/cell

The structure in CIF format:
```
data_AlBMo
_cell_length_a 5.4997
_cell_length_b 5.4997
_cell_length_c 13.1490
_cell_angle_alpha 90.00
_cell_angle_beta 90.00
_cell_angle_gamma 120.00
_space_group_name_H-M_alt 'R 3'
_space_group_IT_number 146
_space_group_name_Hall 'R 3'
loop_
_atom_site_label
_atom_site_fract_x
_atom_site_fract_y
_atom_site_fract_z
Al1 0.0218 0.6441 0.0000
B1 0.0000 0.0000 0.0660
B2 0.0000 0.0000 0.5753
B3 0.0000 0.0000 0.9343
Mo1 0.0032 0.3268 0.8323
```

***

# 4
PmIn5Ru: relaxed, PBE-GGA.

**Formation energy from the elements**: -0.32 eV per atom
**Density of states at the Fermi level**: 3.58 states/eV/cell

The structure in CIF format:
```
data_PmIn5Ru
_cell_length_a 4.676
_cell_length_b 4.676
_cell_length_c 7.646
_cell_angle_alpha 90.00
_cell_angle_beta 90.00
_cell_angle_gamma 90.00
_space_group_name_H-M_alt 'P 4/m m m'
_space_group_IT_number 123
_space_group_name_Hall '-P 4 2'
loop_
_atom_site_label
_atom_site_fract_x
_atom_site_fract_y
_atom_site_fract_z
Pm1 0.000 0.000 0.000
In1 0.000 0.500 0.306
In2 0.500 0.500 0.000
Ru1 0.000 0.000 0.500
```

***

# 5
YZn2Cu: relaxed, PBE-GGA.

**Formation energy from the elements**: -0.15 eV per atom
**Density of states at the Fermi level**: 1.89 states/eV/cell

The structure in CIF format:
```
data_YZn2Cu
_cell_length_a 3.395
_cell_length_b 4.493
_cell_length_c 5.085
_cell_angle_alpha 90.00
_cell_angle_beta 96.23
_cell_angle_gamma 90.00
_space_group_name_H-M_alt 'P 1 2/m 1'
_space_group_IT_number 10
_space_group_name_Hall '-P 2y'
loop_
_atom_site_label
_atom_site_fract_x
_atom_site_fract_y
_atom_site_fract_z
Y1 0.000 0.000 0.000
Zn1 0.446 0.500 0.738
Cu1 0.500 0.000 0.500
```

***

# 6
AcYHoAl: relaxed, PBE-GGA.

**Formation energy from the elements**: 0.08 eV per atom
**Density of states at the Fermi level**: 30.98 states/eV/cell

The structure in CIF format:
```
data_AcYHoAl
_cell_length_a 7.798
_cell_length_b 7.798
_cell_length_c 7.798
_cell_angle_alpha 90.00
_cell_angle_beta 90.00
_cell_angle_gamma 90.00
_space_group_name_H-M_alt 'F -4 3 m'
_space_group_IT_number 216
_space_group_name_Hall 'F -4 2 3'
loop_
_atom_site_label
_atom_site_fract_x
_atom_site_fract_y
_atom_site_fract_z
Ac1 0.000 0.000 0.000
Y1 0.250 0.250 0.750
Ho1 0.250 0.250 0.250
Al1 0.000 0.000 0.500
```

***

# 7
Ho2Fe2Co5Si: relaxed, PBE-GGA.

**Density of states at the Fermi level**: 11.17 states/eV/cell
**ΔE_f (raw)**: -0.10 eV/atom

The structure in CIF format:
```
data_Ho2Fe2Co5Si
_cell_length_a 9.496
_cell_length_b 9.496
_cell_length_c 3.145
_cell_angle_alpha 90.00
_cell_angle_beta 90.00
_cell_angle_gamma 90.00
_space_group_name_H-M_alt 'P 4/m b m'
_space_group_IT_number 127
_space_group_name_Hall '-P 4 2ab'
loop_
_atom_site_label
_atom_site_fract_x
_atom_site_fract_y
_atom_site_fract_z
Ho1 0.174 0.326 0.000
Fe1 0.130 0.630 0.000
Co1 0.000 0.500 0.500
Co2 0.056 0.807 0.500
Si1 0.000 0.000 0.000
```

***

# 8
BaLi2Pa2O7: relaxed, PBE-GGA.

**Density of states at the Fermi level**: 0.00 states/eV/cell
**ΔE_f (raw)**: -3.10 eV/atom

The structure in CIF format:
```
data_BaLi2Pa2O7
_cell_length_a 19.803
_cell_length_b 4.371
_cell_length_c 4.371
_cell_angle_alpha 90.00
_cell_angle_beta 102.74
_cell_angle_gamma 90.00
_space_group_name_H-M_alt 'C 1 2/m 1'
_space_group_IT_number 12
_space_group_name_Hall '-C 2y'
loop_
_atom_site_label
_atom_site_fract_x
_atom_site_fract_y
_atom_site_fract_z
Ba1 0.000 0.000 0.000
Li1 0.250 0.000 0.752
Pa1 0.117 0.500 0.617
O1 0.000 0.500 0.500
O2 0.104 0.000 0.604
O3 0.104 0.500 0.104
O4 0.224 0.500 0.724
```

***

# 9
PrHoCu10: relaxed, PBE-GGA.

**Formation energy from the elements**: -0.17 eV per atom
**Density of states at the Fermi level**: 6.70 states/eV/cell

The structure in CIF format:
```
data_PrHoCu10
_cell_length_a 4.113
_cell_length_b 5.067
_cell_length_c 8.740
_cell_angle_alpha 90.00
_cell_angle_beta 90.00
_cell_angle_gamma 90.00
_space_group_name_H-M_alt 'P m m m'
_space_group_IT_number 47
_space_group_name_Hall '-P 2 2'
loop_
_atom_site_label
_atom_site_fract_x
_atom_site_fract_y
_atom_site_fract_z
Pr1 0.000 0.000 0.000
Ho1 0.000 0.500 0.500
Cu1 0.000 0.000 0.338
Cu2 0.000 0.500 0.173
Cu3 0.500 0.000 0.500
Cu4 0.500 0.253 0.255
Cu5 0.500 0.500 0.000
```

***

# 10
LiAc7Sn4: relaxed, PBE-GGA.

**Formation energy from the elements**: -0.31 eV per atom
**Density of states at the Fermi level**: 21.52 states/eV/cell

The structure in CIF format:
```
data_LiAc7Sn4
_cell_length_a 16.670
_cell_length_b 5.883
_cell_length_c 12.030
_cell_angle_alpha 90.00
_cell_angle_beta 127.53
_cell_angle_gamma 90.00
_space_group_name_H-M_alt 'C 1 2/m 1'
_space_group_IT_number 12
_space_group_name_Hall '-C 2y'
loop_
_atom_site_label
_atom_site_fract_x
_atom_site_fract_y
_atom_site_fract_z
Li1 0.000 0.000 0.000
Ac1 0.000 0.500 0.000
Ac2 0.081 0.000 0.320
Ac3 0.148 0.500 0.571
Ac4 0.210 0.000 0.865
Sn1 0.076 0.500 0.782
Sn2 0.215 0.500 0.338
```

***

# 11
Sr2ErF6: relaxed, PBE-GGA.

**Density of states at the Fermi level**: 3.48 states/eV/cell
**ΔE_f (raw)**: -3.70 eV/atom

The structure in CIF format:
```
data_Sr2ErF6
_cell_length_a 5.420
_cell_length_b 5.420
_cell_length_c 11.752
_cell_angle_alpha 90.00
_cell_angle_beta 90.00
_cell_angle_gamma 90.00
_space_group_name_H-M_alt 'P 42/m n m'
_space_group_IT_number 136
_space_group_name_Hall '-P 4n 2n'
loop_
_atom_site_label
_atom_site_fract_x
_atom_site_fract_y
_atom_site_fract_z
Sr1 0.000 0.000 0.168
Er1 0.000 0.000 0.500
F1 0.179 0.179 0.354
F2 0.210 0.210 0.000
```

***

# 12
KPt2: relaxed, PBE-GGA.

**Formation energy from the elements**: 0.09 eV per atom
**Density of states at the Fermi level**: 4.10 states/eV/cell

The structure in CIF format:
```
data_KPt2
_cell_length_a 4.3176
_cell_length_b 4.3176
_cell_length_c 5.0798
_cell_angle_alpha 90.00
_cell_angle_beta 90.00
_cell_angle_gamma 120.00
_space_group_name_H-M_alt 'P 6/m m m'
_space_group_IT_number 191
_space_group_name_Hall '-P 6 2'
loop_
_atom_site_label
_atom_site_fract_x
_atom_site_fract_y
_atom_site_fract_z
K1 0.0000 0.0000 0.0000
Pt1 0.3333 0.6667 0.5000
```

***

# 13
La2ScSi3Pt4: relaxed, PBE-GGA.

**Density of states at the Fermi level**: 6.87 states/eV/cell
**ΔE_f (raw)**: -1.12 eV/atom

The structure in CIF format:
```
data_La2ScSi3Pt4
_cell_length_a 4.336
_cell_length_b 4.336
_cell_length_c 10.326
_cell_angle_alpha 90.00
_cell_angle_beta 90.00
_cell_angle_gamma 90.00
_space_group_name_H-M_alt 'P -4 m 2'
_space_group_IT_number 115
_space_group_name_Hall 'P -4 -2'
loop_
_atom_site_label
_atom_site_fract_x
_atom_site_fract_y
_atom_site_fract_z
La1 0.000 0.500 0.240
Sc1 0.000 0.000 0.500
Si1 0.000 0.500 0.879
Si2 0.500 0.500 0.500
Pt1 0.000 0.000 0.000
Pt2 0.000 0.500 0.644
Pt3 0.500 0.500 0.000
```

***

# 14
NaTl2Cd2: relaxed, PBE-GGA.

**Formation energy from the elements**: -0.02 eV per atom
**Density of states at the Fermi level**: 4.78 states/eV/cell

The structure in CIF format:
```
data_NaTl2Cd2
_cell_length_a 8.772
_cell_length_b 8.772
_cell_length_c 3.689
_cell_angle_alpha 90.00
_cell_angle_beta 90.00
_cell_angle_gamma 90.00
_space_group_name_H-M_alt 'P 4/m b m'
_space_group_IT_number 127
_space_group_name_Hall '-P 4 2ab'
loop_
_atom_site_label
_atom_site_fract_x
_atom_site_fract_y
_atom_site_fract_z
Na1 0.000 0.000 0.000
Tl1 0.170 0.330 0.500
Cd1 0.128 0.628 0.000
```

***

# 15
HfTl2CuTe4: relaxed, PBE-GGA.

**Density of states at the Fermi level**: 2.88 states/eV/cell
**ΔE_f (raw)**: -0.37 eV/atom

The structure in CIF format:
```
data_HfTl2CuTe4
_cell_length_a 7.523
_cell_length_b 4.058
_cell_length_c 8.542
_cell_angle_alpha 90.00
_cell_angle_beta 109.35
_cell_angle_gamma 90.00
_space_group_name_H-M_alt 'P 1 2/m 1'
_space_group_IT_number 10
_space_group_name_Hall '-P 2y'
loop_
_atom_site_label
_atom_site_fract_x
_atom_site_fract_y
_atom_site_fract_z
Hf1 0.000 0.000 0.000
Tl1 0.000 0.500 0.500
Tl2 0.500 0.000 0.500
Cu1 0.500 0.500 0.000
Te1 0.219 0.500 0.215
Te2 0.286 0.000 0.828
```

***

# 16
Li2ZnAg4: relaxed, PBE-GGA.

**Formation energy from the elements**: -0.08 eV per atom
**Density of states at the Fermi level**: 4.08 states/eV/cell

The structure in CIF format:
```
data_Li2ZnAg4
_cell_length_a 4.995
_cell_length_b 8.816
_cell_length_c 5.535
_cell_angle_alpha 90.00
_cell_angle_beta 93.15
_cell_angle_gamma 90.00
_space_group_name_H-M_alt 'P 1 21/c 1'
_space_group_IT_number 14
_space_group_name_Hall '-P 2ybc'
loop_
_atom_site_label
_atom_site_fract_x
_atom_site_fract_y
_atom_site_fract_z
Li1 0.240 0.024 0.455
Zn1 0.500 0.000 0.000
Ag1 0.027 0.167 0.990
Ag2 0.463 0.747 0.759
```

***

# 17
Li2Ta2Ti: relaxed, PBE-GGA.

**Formation energy from the elements**: 0.70 eV per atom
**Density of states at the Fermi level**: 6.77 states/eV/cell

The structure in CIF format:
```
data_Li2Ta2Ti
_cell_length_a 3.949
_cell_length_b 3.949
_cell_length_c 10.436
_cell_angle_alpha 90.00
_cell_angle_beta 90.00
_cell_angle_gamma 90.00
_space_group_name_H-M_alt 'I 4/m m m'
_space_group_IT_number 139
_space_group_name_Hall '-I 4 2'
loop_
_atom_site_label
_atom_site_fract_x
_atom_site_fract_y
_atom_site_fract_z
Li1 0.000 0.000 0.084
Ta1 0.000 0.500 0.250
Ti1 0.000 0.000 0.500
```

***

# 18
AcNpBi: relaxed, PBE-GGA.

**Formation energy from the elements**: -0.20 eV per atom
**Density of states at the Fermi level**: 8.43 states/eV/cell

The structure in CIF format:
```
data_AcNpBi
_cell_length_a 4.063
_cell_length_b 3.698
_cell_length_c 12.686
_cell_angle_alpha 90.00
_cell_angle_beta 95.18
_cell_angle_gamma 90.00
_space_group_name_H-M_alt 'P 1 21/m 1'
_space_group_IT_number 11
_space_group_name_Hall '-P 2yb'
loop_
_atom_site_label
_atom_site_fract_x
_atom_site_fract_y
_atom_site_fract_z
Ac1 0.213 0.250 0.374
Np1 0.144 0.250 0.046
Bi1 0.330 0.250 0.807
```

***

# 19
SrGa: relaxed, PBE-GGA.

**Formation energy from the elements**: 0.42 eV per atom
**Density of states at the Fermi level**: 8.24 states/eV/cell

The structure in CIF format:
```
data_SrGa
_cell_length_a 7.257
_cell_length_b 7.257
_cell_length_c 7.257
_cell_angle_alpha 90.00
_cell_angle_beta 90.00
_cell_angle_gamma 90.00
_space_group_name_H-M_alt 'F -4 3 m'
_space_group_IT_number 216
_space_group_name_Hall 'F -4 2 3'
loop_
_atom_site_label
_atom_site_fract_x
_atom_site_fract_y
_atom_site_fract_z
Sr1 0.000 0.000 0.000
Ga1 0.250 0.250 0.250
```

***

# 20
RhAu: relaxed, PBE-GGA.

**Formation energy from the elements**: 1.30 eV per atom
**Density of states at the Fermi level**: 12.64 states/eV/cell

The structure in CIF format:
```
data_RhAu
_cell_length_a 7.163
_cell_length_b 7.163
_cell_length_c 7.163
_cell_angle_alpha 90.00
_cell_angle_beta 90.00
_cell_angle_gamma 90.00
_space_group_name_H-M_alt 'P m -3 n'
_space_group_IT_number 223
_space_group_name_Hall '-P 4n 2 3'
loop_
_atom_site_label
_atom_site_fract_x
_atom_site_fract_y
_atom_site_fract_z
Rh1 0.000 0.250 0.500
Au1 0.000 0.500 0.250
```

***

# 21
Tb6Dy2YTm: relaxed, PBE-GGA.

**Formation energy from the elements**: 0.12 eV per atom
**Density of states at the Fermi level**: 53.05 states/eV/cell

The structure in CIF format:
```
data_Tb6Dy2YTm
_cell_length_a 9.027
_cell_length_b 15.082
_cell_length_c 9.534
_cell_angle_alpha 90.00
_cell_angle_beta 97.46
_cell_angle_gamma 90.00
_space_group_name_H-M_alt 'C 1 2/c 1'
_space_group_IT_number 15
_space_group_name_Hall '-C 2yc'
loop_
_atom_site_label
_atom_site_fract_x
_atom_site_fract_y
_atom_site_fract_z
Tb1 0.060 0.187 0.445
Tb2 0.104 0.393 0.620
Tb3 0.207 0.224 0.814
Dy1 0.248 0.447 0.956
Y1 0.000 0.023 0.750
Tm1 0.000 0.410 0.250
```

***

# 22
BeO2: relaxed, PBE-GGA.

**Density of states at the Fermi level**: 0.00 states/eV/cell
**ΔE_f (raw)**: -1.46 eV/atom

The structure in CIF format:
```
data_BeO2
_cell_length_a 3.702
_cell_length_b 4.802
_cell_length_c 6.391
_cell_angle_alpha 90.00
_cell_angle_beta 90.00
_cell_angle_gamma 90.00
_space_group_name_H-M_alt 'P 21 21 21'
_space_group_IT_number 19
_space_group_name_Hall 'P 2ac 2ab'
loop_
_atom_site_label
_atom_site_fract_x
_atom_site_fract_y
_atom_site_fract_z
Be1 0.152 0.181 0.353
O1 0.018 0.147 0.597
O2 0.178 0.875 0.245
```